# 1
Here is an optimized crystal structure of MnNbP3 from Alexandria. Energies are from PBE.

Unit cell a=4.3990 b=4.3990 c=4.3990 alpha=90.00 beta=90.00 gamma=90.00
Closest atoms and distances in Å follow each position.
Space group Pm-3m (No. 221)
Symmetry-distinct sites (fractional):
Mn1 0.0000 0.0000 0.0000 (multiplicity 1)  6 P 2.20
Nb1 0.5000 0.5000 0.5000 (multiplicity 1)  12 P 3.11
P1 0.0000 0.0000 0.5000 (multiplicity 3)  2 Mn 2.20

Values from the calculation:
M_tot ... 4.002 μB per cell
DOS(E_F) ... 2.722 states/eV/cell
DFT formation energy ... 543 meV/atom



# 2
Here is an optimized crystal structure of MnNb3P from Alexandria. Energies are from PBE.

Unit cell a=4.5604 b=4.5604 c=4.5604 alpha=90.00 beta=90.00 gamma=90.00
Closest atoms and distances in Å follow each position.
Space group Pm-3m (No. 221)
Symmetry-distinct sites (fractional):
Mn1 0.0000 0.0000 0.0000 (multiplicity 1)  12 Nb 3.22
Nb1 0.0000 0.5000 0.5000 (multiplicity 3)  2 P 2.28
P1 0.5000 0.5000 0.5000 (multiplicity 1)  6 Nb 2.28

Values from the calculation:
M_tot ... 0.148 μB per cell
DOS(E_F) ... 9.074 states/eV/cell
DFT formation energy ... 645 meV/atom
Polymorph energy (0 for the lowest one) ... 0 kJ/mol of formula units



# 3
Here is an optimized crystal structure of MnNbPS2 from Alexandria. Energies are from PBE.

Unit cell a=4.3888 b=4.3888 c=4.4498 alpha=90.00 beta=90.00 gamma=90.00
Closest atoms and distances in Å follow each position.
Space group P4/mmm (No. 123)
Symmetry-distinct sites (fractional):
Mn1 0.0000 0.0000 0.0000 (multiplicity 1)  4 S 2.19, 2 P 2.22
Nb1 0.5000 0.5000 0.5000 (multiplicity 1)  4 P 3.10, 8 S 3.12
P1 0.0000 0.0000 0.5000 (multiplicity 1)  2 Mn 2.22
S1 0.0000 0.5000 0.0000 (multiplicity 2)  2 Mn 2.19

Values from the calculation:
M_tot ... 2.678 μB per cell
DOS(E_F) ... 5.123 states/eV/cell
E_form (uncorrected) ... 0.399 eV/atom
Polymorph energy (0 for the lowest one) ... 116 kJ/mol of formula units



# 4
Here is an optimized crystal structure of MnNbPS2 from Alexandria. Energies are from PBE.

Unit cell a=4.7337 b=4.7337 c=4.9959 alpha=90.00 beta=90.00 gamma=90.00
Closest atoms and distances in Å follow each position.
Space group P4/mmm (No. 123)
Symmetry-distinct sites (fractional):
Mn1 0.0000 0.0000 0.0000 (multiplicity 1)  4 P 3.35, 8 S 3.44
Nb1 0.5000 0.5000 0.5000 (multiplicity 1)  4 S 2.37, 2 P 2.50
P1 0.5000 0.5000 0.0000 (multiplicity 1)  2 Nb 2.50
S1 0.0000 0.5000 0.5000 (multiplicity 2)  2 Nb 2.37

Values from the calculation:
M_tot ... 4.990 μB per cell
DOS(E_F) ... 1.699 states/eV/cell
E_form (uncorrected) ... 0.158 eV/atom
Polymorph energy (0 for the lowest one) ... 0 kJ/mol of formula units



# 5
Here is an optimized crystal structure of MnNbP2S from Alexandria. Energies are from PBE.

Unit cell a=4.3417 b=4.3417 c=4.6017 alpha=90.00 beta=90.00 gamma=90.00
Closest atoms and distances in Å follow each position.
Space group P4/mmm (No. 123)
Symmetry-distinct sites (fractional):
Mn1 0.0000 0.0000 0.0000 (multiplicity 1)  4 P 2.17, 2 S 2.30
Nb1 0.5000 0.5000 0.5000 (multiplicity 1)  4 S 3.07, 8 P 3.16
P1 0.0000 0.5000 0.0000 (multiplicity 2)  2 Mn 2.17
S1 0.0000 0.0000 0.5000 (multiplicity 1)  2 Mn 2.30

Values from the calculation:
M_tot ... 4.058 μB per cell
DOS(E_F) ... 2.764 states/eV/cell
E_form (uncorrected) ... 0.464 eV/atom
Polymorph energy (0 for the lowest one) ... 34 kJ/mol of formula units



# 6
Here is an optimized crystal structure of MnNbP2S from Alexandria. Energies are from PBE.

Unit cell a=4.8592 b=4.8592 c=4.7221 alpha=90.00 beta=90.00 gamma=90.00
Closest atoms and distances in Å follow each position.
Space group P4/mmm (No. 123)
Symmetry-distinct sites (fractional):
Mn1 0.0000 0.0000 0.0000 (multiplicity 1)  8 P 3.39, 4 S 3.44
Nb1 0.5000 0.5000 0.5000 (multiplicity 1)  2 S 2.36, 4 P 2.43
P1 0.0000 0.5000 0.5000 (multiplicity 2)  2 Nb 2.43
S1 0.5000 0.5000 0.0000 (multiplicity 1)  2 Nb 2.36

Values from the calculation:
M_tot ... 4.620 μB per cell
DOS(E_F) ... 2.239 states/eV/cell
E_form (uncorrected) ... 0.394 eV/atom
Polymorph energy (0 for the lowest one) ... 0 kJ/mol of formula units



# 7
Here is an optimized crystal structure of Pa2MnNb from Alexandria. Energies are from PBE.

Unit cell a=3.4905 b=3.4905 c=6.6382 alpha=90.00 beta=90.00 gamma=90.00
Closest atoms and distances in Å follow each position.
Space group P4/mmm (No. 123)
Symmetry-distinct sites (fractional):
Pa1 0.0000 0.0000 0.2186 (multiplicity 2)  4 Mn 2.86, 1 Pa 2.90, 4 Nb 3.10
Mn1 0.5000 0.5000 0.0000 (multiplicity 1)  8 Pa 2.86
Nb1 0.5000 0.5000 0.5000 (multiplicity 1)  8 Pa 3.10, 2 Mn 3.32

Values from the calculation:
M_tot ... 0.900 μB per cell
DOS(E_F) ... 8.727 states/eV/cell
DFT formation energy ... 230 meV/atom
Polymorph energy (0 for the lowest one) ... 0 kJ/mol of formula units



# 8
Here is an optimized crystal structure of Pa2MnNb from Alexandria. Energies are from PBE.

Unit cell a=4.6201 b=4.6201 c=13.3304 alpha=90.00 beta=90.00 gamma=120.00
Closest atoms and distances in Å follow each position.
Space group R-3m (No. 166, hexagonal axes)
Symmetry-distinct sites (fractional):
Pa1 0.0000 0.0000 0.2450 (multiplicity 6)  3 Mn 2.86, 3 Nb 2.92
Mn1 0.0000 0.0000 0.5000 (multiplicity 3)  6 Pa 2.86
Nb1 0.0000 0.0000 0.0000 (multiplicity 3)  8 Pa 2.92-3.27

Values from the calculation:
M_tot ... 0.000 μB per cell
DOS(E_F) ... 20.604 states/eV/cell
DFT formation energy ... 273 meV/atom
Polymorph energy (0 for the lowest one) ... 17 kJ/mol of formula units